Computed, not measured: a geometry-optimized NaTl4In structure at the GGA-PBE level of DFT.

Cell: 4.8221 4.8586 7.8292 Å, 90.00 71.67 90.00°
Atoms (fractional coordinates):
1 Na 0.6675 0.5027 0.9194
2 Tl 0.3313 0.5027 0.5854
3 Tl 0.0004 0.5027 0.2601
4 Tl 0.1733 0.0027 0.9078
5 Tl 0.5032 0.0027 0.2563
6 In 0.8322 0.0027 0.5823

Values from the calculation:
Total magnetic moment (μB per atom): 0.000
Formation enthalpy at 0 K (eV/atom): -0.05
Uncorrected energy (eV for the cell shown): -13.82

---

Computed, not measured: a geometry-optimized Na4Tl19In6 structure at the GGA-PBE level of DFT.

Cell: 10.5058 10.5059 10.5059 Å, 109.47 109.47 109.47°
Atoms (fractional coordinates):
1 Tl 0.7911 0.9932 0.3373
2 Tl 0.0000 0.2743 0.2743
3 Tl 0.2021 0.2089 0.5462
4 Tl 0.6559 0.4538 0.6627
5 Tl 0.2743 0.0000 0.2743
6 Tl 0.3441 0.0068 0.7979
7 Tl 0.2089 0.5462 0.2021
8 Tl 0.6627 0.6559 0.4538
9 Tl 0.3373 0.7911 0.9932
10 Tl 0.4538 0.6627 0.6559
11 Tl 0.0068 0.7979 0.3441
12 Tl 0.5462 0.2021 0.2089
13 Tl 0.7979 0.3441 0.0068
14 Tl 0.7257 0.0000 0.7257
15 Tl 0.7257 0.7257 0.0000
16 Tl 0.2743 0.2743 0.0000
17 Tl 0.0000 0.7257 0.7257
18 Tl 0.9932 0.3373 0.7911
19 Tl 0.0000 0.0000 0.0000
20 Na 0.3456 0.3456 0.3456
21 Na 0.6544 0.0000 0.0000
22 Na 0.0000 0.0000 0.6544
23 Na 0.0000 0.6544 0.0000
24 In 0.5000 0.8709 0.3709
25 In 0.8709 0.3709 0.5000
26 In 0.1291 0.6291 0.5000
27 In 0.5000 0.1291 0.6291
28 In 0.6291 0.5000 0.1291
29 In 0.3709 0.5000 0.8709

Values from the calculation:
Total magnetic moment (μB per atom): 0.000
Formation enthalpy at 0 K (eV/atom): 0.04
Uncorrected energy (eV for the cell shown): -65.44

---

Computed, not measured: a geometry-optimized NaTl4In structure at the GGA-PBE level of DFT.

Cell: 8.5840 6.8354 6.0387 Å, 90.00 90.00 82.88°
Atoms (fractional coordinates):
1 Tl 0.1657 0.0798 0.4108
2 Tl 0.6703 0.5873 0.9048
3 Tl 0.8343 0.9202 0.5892
4 Tl 0.8343 0.4202 0.4108
5 Tl 0.3297 0.4127 0.0952
6 Tl 0.1657 0.5798 0.5892
7 Tl 0.6703 0.0873 0.0952
8 Tl 0.3297 0.9127 0.9048
9 Na 0.5000 0.2500 0.6000
10 Na 0.5000 0.7500 0.4000
11 In 0.0000 0.7500 0.0853
12 In 0.0000 0.2500 0.9147

Values from the calculation:
Total magnetic moment (μB per atom): 0.000
Formation enthalpy at 0 K (eV/atom): -0.04
Uncorrected energy (eV for the cell shown): -27.52

---

Computed, not measured: a geometry-optimized Na4Tl3In2 structure at the GGA-PBE level of DFT.

Cell: 5.9999 9.4832 9.4832 Å, 73.67 96.00 96.00°
Atoms (fractional coordinates):
1 Na 0.3135 0.4984 0.7353
2 Na 0.8135 0.7353 0.4984
3 Na 0.5133 0.9246 0.1951
4 Na 0.6865 0.5016 0.2647
5 Na 0.4867 0.0754 0.8049
6 Na 0.1865 0.2647 0.5016
7 Na 0.9867 0.8049 0.0754
8 Na 0.0133 0.1951 0.9246
9 Tl 0.2500 0.6185 0.3815
10 Tl 0.7500 0.3815 0.6185
11 Tl 0.4369 0.7208 0.9416
12 Tl 0.5631 0.2792 0.0584
13 Tl 0.0631 0.0584 0.2792
14 Tl 0.9369 0.9416 0.7208
15 In 0.1492 0.4274 0.1384
16 In 0.6492 0.1384 0.4274
17 In 0.3508 0.8616 0.5726
18 In 0.8508 0.5726 0.8616

Values from the calculation:
Total magnetic moment (μB per atom): 0.000
Formation enthalpy at 0 K (eV/atom): -0.09
Uncorrected energy (eV for the cell shown): -37.27

---

Computed, not measured: a geometry-optimized Na2Tl5In3 structure at the GGA-PBE level of DFT.

Cell: 6.9179 10.2749 10.2749 Å, 82.26 70.33 70.33°
Atoms (fractional coordinates):
1 In 0.1299 0.2349 0.5052
2 In 0.6299 0.5052 0.2349
3 In 0.8701 0.7651 0.4948
4 In 0.3701 0.4948 0.7651
5 In 0.2500 0.0000 0.0000
6 In 0.7500 0.0000 0.0000
7 Tl 0.1099 0.0411 0.7392
8 Tl 0.2500 0.5000 0.5000
9 Tl 0.8901 0.9589 0.2608
10 Tl 0.6099 0.7392 0.0411
11 Tl 0.9913 0.7587 0.7587
12 Tl 0.5087 0.2413 0.2413
13 Tl 0.7500 0.5000 0.5000
14 Tl 0.0087 0.2413 0.2413
15 Tl 0.4913 0.7587 0.7587
16 Tl 0.3901 0.2608 0.9589
17 Na 0.3678 0.8652 0.3992
18 Na 0.1322 0.6008 0.1348
19 Na 0.6322 0.1348 0.6008
20 Na 0.8678 0.3992 0.8652

Values from the calculation:
Total magnetic moment (μB per atom): 0.000
Formation enthalpy at 0 K (eV/atom): 0.02
Uncorrected energy (eV for the cell shown): -44.91

---

Computed, not measured: a geometry-optimized NaTmTlIn structure at the GGA-PBE level of DFT.

Cell: 5.2858 5.2858 5.2858 Å, 60.00 60.00 60.00°
Atoms (fractional coordinates):
1 In 0.7500 0.7500 0.7500
2 Tm 0.5000 0.5000 0.5000
3 Tl 0.2500 0.2500 0.2500
4 Na 0.0000 0.0000 0.0000

Values from the calculation:
Total magnetic moment (μB per atom): 0.000
Formation enthalpy at 0 K (eV/atom): -0.22
Uncorrected energy (eV for the cell shown): -11.78